Entry 1:
8
Lattice="-3.050 1.512 0.916 -0.410 -2.382 2.567 3.799 4.670 4.941" Properties=species:S:1:pos:R:3 comment="GGA-PBE Ho2Cu2B2CN, relaxed" volume_a3_per_cell=96.8 pbc="T T T"
B 1.400 3.413 5.813
B 0.651 0.800 0.846
Ho 2.525 3.104 3.284
Ho -0.414 1.183 3.453
Cu 2.261 5.411 5.383
Cu 3.582 3.464 6.208
N 0.705 2.559 4.909
C 1.364 1.677 1.774

***

Entry 2:
8
Lattice="3.548 0.000 0.000 0.000 3.548 0.000 0.000 0.000 7.817" Properties=species:S:1:pos:R:3 comment="GGA-PBE Y2Cu2B2CN, relaxed" volume_a3_per_cell=98.4 pbc="T T T"
B 0.000 0.000 5.241
B 1.774 1.774 2.540
Y 1.774 1.774 6.608
Y 0.000 0.000 1.290
Cu 0.000 1.774 3.885
Cu 1.774 0.000 3.885
C 0.000 0.000 6.703
N 1.774 1.774 1.117

***

Entry 3:
8
Lattice="3.641 0.000 0.000 0.000 3.641 0.000 0.000 0.000 7.870" Properties=species:S:1:pos:R:3 comment="GGA-PBE SmYCu2B2C2, relaxed" volume_a3_per_cell=104.4 pbc="T T T"
B 0.000 0.000 1.329
B 1.821 1.821 6.559
Cu 0.000 1.821 7.863
Cu 1.821 0.000 7.863
C 0.000 0.000 2.792
C 1.821 1.821 5.104
Y 0.000 0.000 5.216
Sm 1.821 1.821 2.627

***

Entry 4:
14
Lattice="-1.784 1.784 13.411 1.784 -1.784 13.411 1.784 1.784 -13.411" Properties=species:S:1:pos:R:3 comment="GGA-PBE Y3Cu4B4C3, relaxed" volume_a3_per_cell=170.8 pbc="T T T"
Cu 1.784 0.000 0.077
Cu 0.000 1.784 0.077
Cu 0.000 1.784 5.526
Cu 1.784 0.000 5.526
B 0.000 0.000 17.672
B 0.000 0.000 14.752
B 0.000 0.000 25.519
B 0.000 0.000 6.905
C 0.000 0.000 8.358
C 0.000 0.000 24.066
C 0.000 0.000 16.212
Y 0.000 0.000 10.786
Y 0.000 0.000 21.638
Y 0.000 0.000 2.802

***

Entry 5:
32
Lattice="-1.991 0.322 6.484 6.295 -1.560 2.011 1.743 7.258 0.175" Properties=species:S:1:pos:R:3 comment="GGA-PBE DyB2C, relaxed" volume_a3_per_cell=344.2 pbc="T T T"
B -0.205 -0.018 2.803
B 3.552 -0.897 1.826
B 0.752 -0.341 6.669
B 1.631 -0.516 5.161
B 2.138 3.235 3.804
B 0.676 3.608 2.909
B 2.673 -0.722 3.334
B -0.095 3.703 6.650
B -0.083 -0.005 1.054
B 3.909 2.784 4.865
B 1.606 3.292 6.766
B 4.387 -1.233 7.441
B 6.142 2.316 2.019
B 4.509 -1.220 5.691
B 5.371 2.412 5.760
B 4.441 2.728 1.903
Dy 2.879 5.021 1.987
Dy 4.039 4.627 6.769
Dy 3.168 0.999 6.682
Dy 0.259 1.740 4.901
Dy 4.917 0.651 3.681
Dy 5.788 4.279 3.768
Dy 1.130 5.369 4.988
Dy 2.008 1.392 1.900
C 5.272 2.397 7.350
C 3.633 2.889 3.267
C 1.117 -0.355 3.627
C -0.794 0.033 6.576
C 3.187 -0.882 4.868
C 0.775 3.622 1.319
C 5.098 -1.270 1.918
C 2.414 3.130 5.402

***

Entry 6:
9
Lattice="7.134 0.000 0.000 -3.567 6.178 0.000 0.000 0.000 2.931" Properties=species:S:1:pos:R:3 comment="GGA-PBE DyBC, relaxed" volume_a3_per_cell=129.2 pbc="T T T"
B 2.516 4.357 0.000
B -1.051 1.821 0.000
B 2.102 0.000 0.000
C 2.617 0.001 1.465
C 2.259 3.911 1.465
C 5.824 2.266 1.465
Dy 3.567 2.059 0.000
Dy 0.000 4.119 0.000
Dy 0.000 0.000 1.465

***

no.,total energy (eV per atom)
1,-6.57
2,-7.03
3,-6.60
4,-6.64
5,-7.33
6,-6.90